Record 1
Here is a relaxed structure of CeIn2Rh from Alexandria via LeMat-Bulk. Energies are from PBE.

Values from the calculation:
Spin magnetization (μB/cell): 1.01
E_form (eV per atom): -0.5819
Crystal system: monoclinic
Total DFT energy (no corrections) (eV per atom): -5.272

Lattice parameters (Å, degrees): 4.6060 7.8618 5.5178 90.00 114.59 90.00
Sites, in units of the cell vectors:
Ce  0.0653  0.2500  0.1307
Ce  0.9347  0.7500  0.8693
In  0.3551  0.0477  0.7101
In  0.3551  0.4523  0.7101
In  0.6449  0.5477  0.2899
In  0.6449  0.9523  0.2899
Rh  0.1934  0.7500  0.3877
Rh  0.8066  0.2500  0.6123

---

Record 2
Here is a relaxed structure of La3HfF from Alexandria via LeMat-Bulk. Energies are from PBE.

Values from the calculation:
Spin magnetization (μB/cell): 0.00
Crystal system: cubic
Energy relative to the elements, uncorrected (meV per atom): -858
Total DFT energy (no corrections) (eV per atom): -6.179
Relative energy among the computed polymorphs (meV per atom): 0.0

Lattice parameters (Å, degrees): 5.1337 5.1337 5.1337 90.00 90.00 90.00
Sites, in units of the cell vectors:
La  0.0000  0.0000  0.5000
La  0.0000  0.5000  0.0000
La  0.5000  0.0000  0.0000
Hf  0.5000  0.5000  0.5000
F  0.0000  0.0000  0.0000

---

Record 3
Here is a relaxed structure of LiY3Br from Alexandria via LeMat-Bulk. Energies are from PBE.

Values from the calculation:
Spin magnetization (μB/cell): 0.00
Crystal system: cubic
Energy relative to the elements, uncorrected (meV per atom): -32
Total DFT energy (no corrections) (eV per atom): -4.628
Relative energy among the computed polymorphs (meV per atom): 0.0

Lattice parameters (Å, degrees): 5.4155 5.4155 5.4155 90.00 90.00 90.00
Sites, in units of the cell vectors:
Li  0.0000  0.0000  0.0000
Y  0.0000  0.5000  0.5000
Y  0.5000  0.0000  0.5000
Y  0.5000  0.5000  0.0000
Br  0.5000  0.5000  0.5000

---

Record 4
Here is a relaxed structure of TbHo2Hf from Alexandria via LeMat-Bulk. Energies are from PBE.

Values from the calculation:
Spin magnetization (μB/cell): 0.00
E_form (eV per atom): 0.2199
Crystal system: tetragonal
Total DFT energy (no corrections) (eV per atom): -5.715
Relative energy among the computed polymorphs (meV per atom): 115.5

Lattice parameters (Å, degrees): 3.9719 3.9719 7.2848 90.00 90.00 90.00
Sites, in units of the cell vectors:
Tb  0.0000  0.0000  0.0000
Ho  0.5000  0.5000  0.2783
Ho  0.5000  0.5000  0.7217
Hf  0.0000  0.0000  0.5000

---

Record 5
Here is a relaxed structure of CaEuZnGe from Alexandria via LeMat-Bulk. Energies are from PBE.

Values from the calculation:
Spin magnetization (μB/cell): 28.26
E_form (eV per atom): -0.4889
Crystal system: cubic
Total DFT energy (no corrections) (eV per atom): -5.031

Lattice parameters (Å, degrees): 7.3803 7.3803 7.3803 90.00 90.00 90.00
Sites, in units of the cell vectors:
Ca  0.0000  0.0000  0.0000
Ca  0.0000  0.5000  0.5000
Ca  0.5000  0.0000  0.5000
Ca  0.5000  0.5000  0.0000
Eu  0.0000  0.0000  0.5000
Eu  0.0000  0.5000  0.0000
Eu  0.5000  0.0000  0.0000
Eu  0.5000  0.5000  0.5000
Zn  0.2500  0.2500  0.2500
Zn  0.2500  0.7500  0.7500
Zn  0.7500  0.2500  0.7500
Zn  0.7500  0.7500  0.2500
Ge  0.2500  0.2500  0.7500
Ge  0.2500  0.7500  0.2500
Ge  0.7500  0.2500  0.2500
Ge  0.7500  0.7500  0.7500

---

Record 6
Here is a relaxed structure of BaCa2Ni from Alexandria via LeMat-Bulk. Energies are from PBE.

Values from the calculation:
Spin magnetization (μB/cell): 0.00
E_form (eV per atom): 0.4313
Crystal system: monoclinic
Total DFT energy (no corrections) (eV per atom): -2.496
Relative energy among the computed polymorphs (meV per atom): 392.5

Lattice parameters (Å, degrees): 6.7878 12.0994 3.9078 90.00 121.54 90.00
Sites, in units of the cell vectors:
Ba  0.0000  0.0000  0.0000
Ba  0.5000  0.5000  0.0000
Ca  0.2500  0.2500  0.5000
Ca  0.2500  0.7500  0.5000
Ca  0.7500  0.2500  0.5000
Ca  0.7500  0.7500  0.5000
Ni  0.0000  0.5000  0.0000
Ni  0.5000  0.0000  0.0000

---

Record 7
Here is a relaxed structure of PCF3 from Alexandria via LeMat-Bulk. Energies are from PBE.

Values from the calculation:
Spin magnetization (μB/cell): 2.00
Crystal system: cubic
Energy relative to the elements, uncorrected (meV per atom): 679
Total DFT energy (no corrections) (eV per atom): -3.371
Relative energy among the computed polymorphs (meV per atom): 416.2

Lattice parameters (Å, degrees): 3.9158 3.9158 3.9158 90.00 90.00 90.00
Sites, in units of the cell vectors:
P  0.0000  0.0000  0.0000
C  0.5000  0.5000  0.5000
F  0.0000  0.5000  0.5000
F  0.5000  0.0000  0.5000
F  0.5000  0.5000  0.0000

---

Record 8
Here is a relaxed structure of KSmCuBr5 from Alexandria via LeMat-Bulk. Energies are from PBE.

Values from the calculation:
Spin magnetization (μB/cell): 0.30
Crystal system: monoclinic
Energy relative to the elements, uncorrected (meV per atom): -1427
Total DFT energy (no corrections) (eV per atom): -3.712

Lattice parameters (Å, degrees): 7.7853 7.7853 10.6232 103.61 103.61 106.71
Sites, in units of the cell vectors:
K  0.1415  0.8585  0.7500
K  0.8585  0.1415  0.2500
Sm  0.5000  0.5000  0.0000
Sm  0.5000  0.5000  0.5000
Cu  0.1888  0.8112  0.2500
Cu  0.8112  0.1888  0.7500
Br  0.1136  0.2543  0.9317
Br  0.1776  0.5840  0.3774
Br  0.2543  0.1136  0.4317
Br  0.4097  0.5903  0.7500
Br  0.4160  0.8224  0.1226
Br  0.5840  0.1776  0.8774
Br  0.5903  0.4097  0.2500
Br  0.7457  0.8864  0.5683
Br  0.8224  0.4160  0.6226
Br  0.8864  0.7457  0.0683